# GGA-PBE Er4Bi2Te, relaxed
data_Er4Bi2Te
_chemical_formula_sum 'Er16 Bi8 Te4'
_cell_length_a 9.192
_cell_length_b 9.192
_cell_length_c 9.316
_cell_angle_alpha 90.00
_cell_angle_beta 90.00
_cell_angle_gamma 90.00
_symmetry_space_group_name_H-M 'I -4 2 d'
_symmetry_Int_Tables_number 122
_symmetry_space_group_name_Hall 'I -4 2bw'
loop_
_atom_site_label
_atom_site_type_symbol
_atom_site_fract_x
_atom_site_fract_y
_atom_site_fract_z
_atom_site_occupancy
Er1 Er 0.074 0.681 0.452 1
Bi1 Bi 0.121 0.750 0.125 1
Te1 Te 0.000 0.000 0.500 1
# Calculated volume (Å³ per cell): 787.04
# M_tot (μB per cell): 0.00
# Formation energy from raw total energies (eV per atom): -0.781
# Uncorrected energy (eV per cell): -138.48